The following is a DFT calculation (PBE) of a relaxed OsPdSN crystal.

raw formation energy = 0.2831 eV/atom

Lattice parameters (Å, degrees): 2.9211 3.7362 5.8271 90.00 90.00 90.00
With the nearest neighbours (Å) after each atom.
Space group Pmm2 (No. 25)
Symmetry-distinct sites (fractional):
Os (0.0000, 0.0000, 0.0000) [1 per cell]  2 N 1.87
Pd (0.0000, 0.5000, 0.6227) [1 per cell]  1 N 2.09, 2 S 2.34
S (0.0000, 0.0000, 0.3818) [1 per cell]  1 Os 2.22, 2 Pd 2.34
N (0.0000, 0.5000, 0.9819) [1 per cell]  2 Os 1.87, 1 Pd 2.09


The following is a DFT calculation (PBE) of a relaxed CoSi2Ag crystal.

raw formation energy = 0.0301 eV/atom

Lattice parameters (Å, degrees): 2.7139 2.7139 7.6728 90.00 90.00 90.00
With the nearest neighbours (Å) after each atom.
Space group P4/mmm (No. 123)
Symmetry-distinct sites (fractional):
Co (0.0000, 0.0000, 0.0000) [1 per cell]  8 Si 2.43, 4 Co 2.71
Si (0.5000, 0.5000, 0.1934) [2 per cell]  4 Co 2.43, 4 Si 2.71
Ag (0.0000, 0.0000, 0.5000) [1 per cell]  4 Ag 2.71, 8 Si 3.04


The following is a DFT calculation (PBE) of a relaxed Ac6CuIr2Pd crystal.

raw total energy = -5.65 eV/atom

Lattice parameters (Å, degrees): 7.6254 7.6276 8.2644 62.54 62.55 60.08
With the nearest neighbours (Å) after each atom.
Space group P1 (No. 1)
Symmetry-distinct sites (fractional):
Ac (0.0000, 0.0000, 0.0000) [1 per cell]  2 Ir 3.01-3.04, 1 Pd 3.09, 1 Cu 3.14
Ac (0.1333, 0.4980, 0.5038) [1 per cell]  2 Ir 3.01-3.04, 1 Pd 3.11, 1 Cu 3.13
Ac (0.2917, 0.3458, 0.9997) [1 per cell]  2 Ir 3.01-3.04, 1 Pd 3.09, 1 Cu 3.14
Ac (0.5029, 0.8399, 0.5040) [1 per cell]  2 Ir 3.01-3.04, 1 Pd 3.11, 1 Cu 3.12
Ac (0.6371, 0.7081, 0.0001) [1 per cell]  2 Ir 3.01-3.04, 1 Pd 3.09, 1 Cu 3.14
Ac (0.7910, 0.2099, 0.5041) [1 per cell]  2 Ir 3.01-3.04, 1 Pd 3.11, 1 Cu 3.12
Cu (0.2155, 0.9236, 0.2831) [1 per cell]  6 Ac 3.12-3.14
Ir (0.3966, 0.1038, 0.7404) [1 per cell]  6 Ac 3.01-3.04
Ir (0.8970, 0.6045, 0.2390) [1 per cell]  6 Ac 3.01-3.04
Pd (0.7150, 0.4224, 0.7857) [1 per cell]  6 Ac 3.09-3.11


The following is a DFT calculation (PBE) of a relaxed Cr4AsOs crystal.

raw total energy = -8.73 eV/atom

Lattice parameters (Å, degrees): 6.7258 6.7258 6.7258 90.00 90.00 90.00
With the nearest neighbours (Å) after each atom.
Space group F-43m (No. 216)
Symmetry-distinct sites (fractional):
Cr (0.1228, 0.1228, 0.3772) [16 per cell]  6 Cr 2.34-2.42
As (0.2500, 0.2500, 0.7500) [4 per cell]  12 Cr 2.78, 4 Os 2.91
Os (0.0000, 0.0000, 0.0000) [4 per cell]  12 Cr 2.79, 4 As 2.91


The following is a DFT calculation (PBE) of a relaxed HRuBr3 crystal.

raw total energy = -2.44 eV/atom

Lattice parameters (Å, degrees): 4.6834 4.6834 4.6834 90.00 90.00 90.00
With the nearest neighbours (Å) after each atom.
Space group Pm-3m (No. 221)
Symmetry-distinct sites (fractional):
H (0.0000, 0.0000, 0.0000) [1 per cell]  6 Br 2.34
Ru (0.5000, 0.5000, 0.5000) [1 per cell]  12 Br 3.31
Br (0.0000, 0.0000, 0.5000) [3 per cell]  2 H 2.34


The following is a DFT calculation (PBE) of a relaxed SrMg2S crystal.

raw formation energy = -0.6233 eV/atom

Lattice parameters (Å, degrees): 8.6435 8.6435 5.9169 90.00 90.00 90.00
With the nearest neighbours (Å) after each atom.
Space group I-42d (No. 122)
Symmetry-distinct sites (fractional):
Sr (0.0000, 0.0000, 0.0000) [4 per cell]  2 S 2.96
Mg (0.1769, 0.7500, 0.6250) [8 per cell]  2 S 2.75
S (0.0000, 0.0000, 0.5000) [4 per cell]  4 Mg 2.75, 2 Sr 2.96


The following is a DFT calculation (PBE) of a relaxed Rb2Zn3PtF12 crystal.

raw formation energy = -2.2015 eV/atom

Lattice parameters (Å, degrees): 7.3584 7.3584 19.2577 90.00 90.00 120.00
With the nearest neighbours (Å) after each atom.
Space group R-3m (No. 166, hexagonal axes)
Symmetry-distinct sites (fractional):
Rb (0.0000, 0.0000, 0.1034) [6 per cell]  3 F 2.98
Zn (0.0000, 0.5000, 0.0000) [9 per cell]  6 F 2.00-2.21
Pt (0.0000, 0.0000, 0.5000) [3 per cell]  6 F 1.98
F (0.0666, 0.5333, 0.3566) [18 per cell]  2 Zn 2.00
F (0.0708, 0.5354, 0.1121) [18 per cell]  1 Pt 1.98, 1 Zn 2.21


The following is a DFT calculation (PBE) of a relaxed Sr2LiCl crystal.

raw formation energy = -0.6854 eV/atom

Lattice parameters (Å, degrees): 8.4632 8.4632 8.9634 90.00 90.00 90.00
With the nearest neighbours (Å) after each atom.
Space group I-42d (No. 122)
Symmetry-distinct sites (fractional):
Sr (0.2095, 0.2500, 0.1250) [8 per cell]  2 Cl 2.98
Li (0.0000, 0.0000, 0.5000) [4 per cell]  4 Sr 3.43
Cl (0.0000, 0.0000, 0.0000) [4 per cell]  4 Sr 2.98


Record order is preserved below.
Magnetization: 0.00; 0.70; 0.00; 0.00; 4.09; 0.00; 0.00; 0.00 μB per formula unit